LaPSe, optimized geometry, DFT GGA-PBE; formation energy (no corrections) = -0.6733 eV per atom; crystal system = cubic; magnetic moment = 0.00 μB per formula unit; space group = F-43m, No. 216; Fermi-level density of states = 0.561 states/eV/atom; theoretical density = 5.19 g cm⁻³; V = 26.55 A^3/atom
1.0
0.000 3.415 3.415
3.415 0.000 3.415
3.415 3.415 0.000
La P Se
1 1 1
direct
0.000 0.000 0.000 La
0.500 0.500 0.500 P
0.250 0.250 0.250 Se